No. 1
VASP calculation (PBE-GGA) on a relaxed structure of ScNi3Sn.

```
ScNi3Sn
1.0
-3.0649 2.6111 -2.1276
-0.4387 -3.1839 -3.2756
-4.3722 -4.8136 5.2645
Ni Sn Sc
6 2 2
direct
0.0000 0.5000 0.0000
0.5404 0.2500 0.5790
0.4596 0.7500 0.4210
0.0000 0.0000 0.0000
0.0386 0.2500 0.5790
0.9614 0.7500 0.4210
0.5643 0.7500 0.1287
0.4357 0.2500 0.8713
0.8521 0.7500 0.7041
0.1479 0.2500 0.2959
```

Results
- distance to the lowest polymorph of the same formula (meV per atom) = 300
- Fermi-level density of states (states/eV per cell) = 10.63
- formation energy (eV/atom) = -0.070
- calculated volume (Å³/atom) = 16.8

***

No. 2
VASP calculation (PBE-GGA) on a relaxed structure of HoHfZnIn.

```
HoHfZnIn
1.0
4.9868 0.0000 0.0000
2.4934 4.3187 0.0000
2.4934 1.4396 4.0717
In Zn Ho Hf
1 1 1 1
direct
0.5000 0.5000 0.5000
0.0000 0.0000 0.0000
0.2500 0.2500 0.2500
0.7500 0.7500 0.7500
```

Results
- Fermi-level density of states (states/eV per cell) = 1.72
- formation energy (eV/atom) = -0.189
- calculated volume (Å³/atom) = 21.9

***

> Among the records above, which one has the highest Fermi-level density of states?

ScNi3Sn

***

> Which formula does entry 1 have?

ScNi3Sn